No. 1
## PmInHRh2 (PBE)

Data for an optimized crystal structure of PmInHRh2.

abc: 3.425 6.495 7.836
angles: 90.00 90.00 105.29
Fractional positions:
1 Rh 0.136 0.273 0.540
2 Rh 0.864 0.727 0.040
3 Rh 0.136 0.273 0.960
4 Pm 0.520 0.040 0.250
5 In 0.746 0.492 0.750
6 H 0.000 0.000 0.000
7 In 0.254 0.508 0.250
8 Pm 0.480 0.960 0.750
9 H 0.000 0.000 0.500
10 Rh 0.864 0.727 0.460

Computed properties:
- energy (eV per atom) = -5.598



No. 2
## Pm8Tm5Pu (PBE)

Data for an optimized crystal structure of Pm8Tm5Pu.

abc: 8.674 8.473 8.674
angles: 97.38 118.45 114.05
Fractional positions:
1 Pm 0.222 0.317 0.398
2 Tm 0.941 0.846 0.167
3 Pm 0.050 0.030 0.622
4 Tm 0.456 0.000 0.456
5 Tm 0.666 0.756 0.713
6 Pm 0.167 0.706 0.529
7 Pm 0.823 0.294 0.461
8 Pm 0.608 0.345 0.894
9 Pu 0.316 0.500 0.816
10 Pm 0.081 0.683 0.904
11 Pm 0.549 0.655 0.263
12 Tm 0.956 0.244 0.909
13 Pm 0.592 0.970 0.020
14 Tm 0.322 0.154 0.095

Computed properties:
- energy (eV per atom) = -5.118
- ΔE_f (kJ/mol of atoms) = 21.00



No. 3
## Ho2Pd6Au (PBE)

Data for an optimized crystal structure of Ho2Pd6Au.

abc: 4.116 6.710 6.422
angles: 107.15 108.69 90.00
Fractional positions:
1 Pd 0.170 0.500 0.341
2 Pd 0.388 0.830 0.776
3 Pd 0.612 0.170 0.224
4 Pd 0.724 0.827 0.449
5 Pd 0.276 0.173 0.551
6 Au 0.500 0.500 0.000
7 Ho 0.066 0.825 0.133
8 Pd 0.830 0.500 0.659
9 Ho 0.934 0.175 0.867

Computed properties:
- energy (eV per atom) = -5.524
- energy above the lowest structure with this stoichiometry (meV per atom) = 0.0
- ΔE_f (kJ/mol of atoms) = -65.66



No. 4
## NaLi7Al5 (PBE)

Data for an optimized crystal structure of NaLi7Al5.

abc: 5.457 7.227 7.227
angles: 80.37 67.82 67.82
Fractional positions:
1 Al 0.496 0.000 0.505
2 Li 0.272 0.228 0.228
3 Al 0.000 0.000 0.505
4 Li 0.664 0.336 0.336
5 Na 0.004 0.996 0.996
6 Li 0.346 0.654 0.654
7 Al 0.728 0.772 0.772
8 Li 0.998 0.346 0.659
9 Li 0.500 0.789 0.210
10 Al 0.000 0.505 0.000
11 Al 0.496 0.505 0.000
12 Li 0.998 0.659 0.346
13 Li 0.500 0.210 0.789

Computed properties:
- energy (eV per atom) = -2.644
- ΔE_f (kJ/mol of atoms) = -7.05



No. 5
## RbScBr4 (PBE)

Data for an optimized crystal structure of RbScBr4.

abc: 7.020 9.554 9.554
angles: 116.05 97.77 97.77
Fractional positions:
1 Br 0.303 0.003 0.152
2 Sc 0.750 0.935 0.565
3 Br 0.803 0.652 0.503
4 Br 0.697 0.997 0.848
5 Br 0.130 0.093 0.705
6 Br 0.370 0.795 0.407
7 Br 0.870 0.907 0.295
8 Sc 0.250 0.065 0.435
9 Rb 0.250 0.749 0.751
10 Br 0.630 0.205 0.593
11 Br 0.197 0.348 0.497
12 Rb 0.750 0.251 0.249

Computed properties:
- energy (eV per atom) = -4.068
- formation energy from raw total energies (meV per atom) = -1736.1
- energy above the lowest structure with this stoichiometry (meV per atom) = 0.0



No. 6
## PrAgHgSb (PBE)

Data for an optimized crystal structure of PrAgHgSb.

abc: 5.260 5.260 5.260
angles: 60.00 60.00 60.00
Fractional positions:
1 Ag 0.250 0.250 0.250
2 Pr 0.750 0.750 0.750
3 Sb 0.500 0.500 0.500
4 Hg 0.000 0.000 0.000

Computed properties:
- energy (eV per atom) = -3.377
- formation energy from raw total energies (meV per atom) = -363.6



No. 7
## Th3NpAs4 (PBE)

Data for an optimized crystal structure of Th3NpAs4.

abc: 7.325 7.312 8.440
angles: 90.00 90.00 109.39
Fractional positions:
1 Np 0.250 0.000 0.124
2 Th 0.250 0.500 0.374
3 Th 0.750 0.000 0.374
4 Th 0.750 0.500 0.626
5 As 0.999 0.757 0.878
6 Th 0.250 0.500 0.876
7 As 0.499 0.757 0.122
8 Th 0.750 0.500 0.124
9 Np 0.750 0.000 0.876
10 As 0.501 0.243 0.878
11 As 0.001 0.243 0.122
12 As 0.997 0.247 0.628
13 As 0.497 0.247 0.372
14 As 0.003 0.753 0.372
15 As 0.503 0.753 0.628
16 Th 0.250 0.000 0.626

Computed properties:
- energy (eV per atom) = -7.946
- ΔE_f (kJ/mol of atoms) = -117.87



No. 8
## AlN3F6 (PBE)

Data for an optimized crystal structure of AlN3F6.

abc: 5.335 5.335 5.335
angles: 60.00 60.00 60.00
Fractional positions:
1 F 0.753 0.247 0.753
2 F 0.753 0.247 0.247
3 Al 0.000 0.000 0.000
4 N 0.750 0.750 0.750
5 F 0.247 0.247 0.753
6 F 0.247 0.753 0.247
7 N 0.500 0.500 0.500
8 F 0.753 0.753 0.247
9 F 0.247 0.753 0.753
10 N 0.250 0.250 0.250

Computed properties:
- energy (eV per atom) = -3.891
- formation energy from raw total energies (meV per atom) = 103.9